# YErCdAu (PBE-GGA, optimized geometry)
data_YErCdAu
_chemical_formula_sum 'Y4 Er4 Cd4 Au4'
_cell_length_a 7.3093
_cell_length_b 7.3093
_cell_length_c 7.3093
_cell_angle_alpha 90.00
_cell_angle_beta 90.00
_cell_angle_gamma 90.00
_symmetry_space_group_name_H-M 'F -4 3 m'
_symmetry_Int_Tables_number 216
_symmetry_space_group_name_Hall 'F -4 2 3'
loop_
_atom_site_label
_atom_site_fract_x
_atom_site_fract_y
_atom_site_fract_z
Y1 0.0000 0.0000 0.0000
Er1 0.0000 0.0000 0.5000
Cd1 0.2500 0.2500 0.2500
Au1 0.2500 0.2500 0.7500
# * offset from the most stable computed form: 0.032 eV/atom
# * V: 24.4 A^3/atom
# * DOS(E_F): 16.8 states/eV per cell
# * spin magnetization: 0.0 μB per formula unit
# * E: -17.51 eV/f.u.

# CuPdC2 (PBE-GGA, optimized geometry)
data_CuPdC2
_chemical_formula_sum 'Cu4 Pd4 C8'
_cell_length_a 4.6237
_cell_length_b 4.6237
_cell_length_c 9.1541
_cell_angle_alpha 90.00
_cell_angle_beta 90.00
_cell_angle_gamma 90.00
_symmetry_space_group_name_H-M 'I -4 2 d'
_symmetry_Int_Tables_number 122
_symmetry_space_group_name_Hall 'I -4 2bw'
loop_
_atom_site_label
_atom_site_fract_x
_atom_site_fract_y
_atom_site_fract_z
Cu1 0.0000 0.0000 0.0000
Pd1 0.0000 0.0000 0.5000
C1 0.2411 0.2500 0.1250
# * offset from the most stable computed form: 0.000 eV/atom
# * V: 12.2 A^3/atom
# * DOS(E_F): 9.3 states/eV per cell
# * spin magnetization: 0.0 μB per formula unit
# * E: -21.98 eV/f.u.

# NaCa5Pb6 (PBE-GGA, optimized geometry)
data_NaCa5Pb6
_chemical_formula_sum 'Na2 Ca10 Pb12'
_cell_length_a 15.9554
_cell_length_b 9.3417
_cell_length_c 5.0341
_cell_angle_alpha 90.00
_cell_angle_beta 108.30
_cell_angle_gamma 90.00
_symmetry_space_group_name_H-M 'C 1 2/m 1'
_symmetry_Int_Tables_number 12
_symmetry_space_group_name_Hall '-C 2y'
loop_
_atom_site_label
_atom_site_fract_x
_atom_site_fract_y
_atom_site_fract_z
Na1 0.0000 0.0000 0.0000
Ca1 0.0000 0.5000 0.0000
Ca2 0.1593 0.0000 0.6594
Ca3 0.1687 0.5000 0.6687
Pb1 0.0000 0.2517 0.5000
Pb2 0.1672 0.2505 0.1675
# * V: 29.7 A^3/atom
# * DOS(E_F): 11.0 states/eV per cell
# * spin magnetization: 0.0 μB per formula unit
# * E: -39.11 eV/f.u.